Below is a geometry-optimized La2SmErTl2 structure, with properties calculated at the PBE-GGA level.

It has space group Pmc2_1 (No. 26), with a = 5.1471 Å, b = 10.2964 Å, c = 7.0141 Å, α = 90.00°, β = 90.00° and γ = 90.00°. The asymmetric unit holds La at (0.0000, 0.0624, 0.0000), La at (0.5000, 0.1754, 0.2286), Sm at (0.5000, 0.4558, 0.8751), Er at (0.0000, 0.3061, 0.5830), Tl at (0.0000, 0.3886, 0.1392) and Tl at (0.5000, 0.1502, 0.7098).

The calculation puts the formation enthalpy at 0 K at -0.29 eV/atom. The total moment is 0.000 μB per formula unit. The energy comes out at -0.1567 Ha/atom. The calculated volume comes out at 31.0 Å³ per atom.

=====

Below is a geometry-optimized La2Sm7ErTl2 structure, with properties calculated at the PBE-GGA level.

It has space group C2/m (No. 12), with a = 10.0850 Å, b = 6.9746 Å, c = 11.3794 Å, α = 90.00°, β = 90.05° and γ = 90.00°. The asymmetric unit holds La at (0.0000, 0.0000, 0.1454), Sm at (0.0000, 0.0000, 0.5000), Sm at (0.1799, 0.5000, 0.0003), Sm at (0.2498, 0.2500, 0.3344), Er at (0.0000, 0.5000, 0.5000) and Tl at (0.9996, 0.5000, 0.2301).

The calculation puts the formation enthalpy at 0 K at -0.04 eV/atom. The total moment is 0.000 μB per formula unit. The energy comes out at -0.1611 Ha/atom. The calculated volume comes out at 33.4 Å³ per atom.

=====

Below is a geometry-optimized LaSm2ErTl4 structure, with properties calculated at the PBE-GGA level.

It has space group R-3m (No. 166, hexagonal axes), with a = 5.4727 Å, b = 5.4727 Å, c = 26.9810 Å, α = 90.00°, β = 90.00° and γ = 120.00°. The asymmetric unit holds La at (0.0000, 0.0000, 0.0000), Sm at (0.0000, 0.0000, 0.2488), Er at (0.0000, 0.0000, 0.5000), Tl at (0.0000, 0.0000, 0.1272) and Tl at (0.0000, 0.0000, 0.3776).

The calculation puts the formation enthalpy at 0 K at -0.36 eV/atom. The total moment is 0.000 μB per formula unit. The energy comes out at -0.1438 Ha/atom. The calculated volume comes out at 29.2 Å³ per atom.

=====

Below is a geometry-optimized La6SmErTm2 structure, with properties calculated at the PBE-GGA level.

It has space group C2/m (No. 12), with a = 11.3576 Å, b = 7.1524 Å, c = 8.9387 Å, α = 90.00°, β = 103.44° and γ = 90.00°. The asymmetric unit holds La at (0.1396, 0.0000, 0.4388), La at (0.1817, 0.2794, 0.8072), Sm at (0.0000, 0.5000, 0.5000), Er at (0.0000, 0.0000, 0.0000) and Tm at (0.0882, 0.5000, 0.1623).

The calculation puts the formation enthalpy at 0 K at 0.20 eV/atom. The total moment is 0.000 μB per formula unit. The energy comes out at -0.1684 Ha/atom. The calculated volume comes out at 35.3 Å³ per atom.

=====

Below is a geometry-optimized La2Sm3Er6Tm structure, with properties calculated at the PBE-GGA level.

It has space group C2/m (No. 12), with a = 6.2043 Å, b = 10.7432 Å, c = 11.7829 Å, α = 90.00°, β = 100.07° and γ = 90.00°. The asymmetric unit holds La at (0.0000, 0.1662, 0.0000), Sm at (0.0000, 0.0000, 0.5000), Sm at (0.0000, 0.3332, 0.5000), Er at (0.2480, 0.5000, 0.7482), Er at (0.2499, 0.1660, 0.7486) and Tm at (0.0000, 0.5000, 0.0000).

The calculation puts the formation enthalpy at 0 K at 0.02 eV/atom. The total moment is 0.000 μB per formula unit. The energy comes out at -0.1704 Ha/atom. The calculated volume comes out at 32.2 Å³ per atom.

=====

Below is a geometry-optimized LaSmEr2Tm5 structure, with properties calculated at the PBE-GGA level.

It has space group I4/mcm (No. 140), with a = 8.8812 Å, b = 8.8812 Å, c = 14.6791 Å, α = 90.00°, β = 90.00° and γ = 90.00°. The asymmetric unit holds La at (0.0000, 0.0000, 0.2500), Sm at (0.0000, 0.5000, 0.2500), Er at (0.1131, 0.3869, 0.0000), Tm at (0.0000, 0.0000, 0.0000) and Tm at (0.2033, 0.2967, 0.3706).

The calculation puts the formation enthalpy at 0 K at 0.28 eV/atom. The total moment is 0.004 μB per formula unit. The energy comes out at -0.1575 Ha/atom. The calculated volume comes out at 32.2 Å³ per atom.